# 1
The following is a DFT calculation (GGA-PBE) of a relaxed NdCd2Si2 crystal.

total energy	-3.49	eV/atom

The structure in CIF format:
```
data_NdCd2Si2
_cell_length_a 7.4915
_cell_length_b 7.4915
_cell_length_c 4.0265
_cell_angle_alpha 90.00
_cell_angle_beta 90.00
_cell_angle_gamma 90.00
_symmetry_space_group_name_H-M 'P 4/m b m'
_symmetry_Int_Tables_number 127
_symmetry_space_group_name_Hall '-P 4 2ab'
loop_
_atom_site_label
_atom_site_fract_x
_atom_site_fract_y
_atom_site_fract_z
Nd1 0.0000 0.0000 0.0000
Cd1 0.1732 0.3268 0.5000
Si1 0.1124 0.6124 0.0000
```

---

# 2
The following is a DFT calculation (GGA-PBE) of a relaxed TbMgGa crystal.

total energy	-3.57	eV/atom

The structure in CIF format:
```
data_TbMgGa
_cell_length_a 7.2891
_cell_length_b 7.2891
_cell_length_c 4.4486
_cell_angle_alpha 90.00
_cell_angle_beta 90.00
_cell_angle_gamma 120.00
_symmetry_space_group_name_H-M 'P -6 2 m'
_symmetry_Int_Tables_number 189
_symmetry_space_group_name_Hall 'P -6 -2'
loop_
_atom_site_label
_atom_site_fract_x
_atom_site_fract_y
_atom_site_fract_z
Tb1 0.0000 0.4257 0.0000
Mg1 0.0000 0.7564 0.5000
Ga1 0.0000 0.0000 0.0000
Ga2 0.3333 0.6667 0.5000
```

---

# 3
The following is a DFT calculation (GGA-PBE) of a relaxed K6CdPb8 crystal.

total energy	-2.69	eV/atom

The structure in CIF format:
```
data_K6CdPb8
_cell_length_a 29.3951
_cell_length_b 7.0060
_cell_length_c 18.9625
_cell_angle_alpha 90.00
_cell_angle_beta 116.99
_cell_angle_gamma 90.00
_symmetry_space_group_name_H-M 'C 1 2/m 1'
_symmetry_Int_Tables_number 12
loop_
_symmetry_equiv_pos_as_xyz
'x,y,z'
'-x,-y,-z'
'-x,y,-z'
'x,-y,z'
'x+1/2,y+1/2,z'
'-x+1/2,-y+1/2,-z'
'-x+1/2,y+1/2,-z'
'x+1/2,-y+1/2,z'
loop_
_atom_site_label
_atom_site_fract_x
_atom_site_fract_y
_atom_site_fract_z
K1 0.0127 0.0000 0.2170
K2 0.0446 0.5000 0.1317
K3 0.0727 0.0000 0.4463
K4 0.0774 0.5000 0.8065
K5 0.0869 0.5000 0.6079
K6 0.1877 0.5000 0.1884
K7 0.2114 0.5000 0.9981
K8 0.2266 0.0000 0.5272
K9 0.2496 0.0000 0.3109
Cd1 0.0000 0.0000 0.0000
Cd2 0.1336 0.0000 0.8882
Pb1 0.0483 0.5000 0.3414
Pb2 0.0800 0.0000 0.7010
Pb3 0.0862 0.2458 0.9845
Pb4 0.1106 0.0000 0.1453
Pb5 0.1387 0.2648 0.3343
Pb6 0.1540 0.5000 0.4870
Pb7 0.1702 0.0000 0.6598
Pb8 0.1870 0.2416 0.8067
Pb9 0.1890 0.0000 0.0776
```

---

# 4
The following is a DFT calculation (GGA-PBE) of a relaxed KLiZrTe3 crystal.

energy above the most stable polymorph in this dataset	11	meV/atom

The structure in CIF format:
```
data_KLiZrTe3
_cell_length_a 4.2316
_cell_length_b 15.5495
_cell_length_c 11.1503
_cell_angle_alpha 90.00
_cell_angle_beta 90.00
_cell_angle_gamma 90.00
_symmetry_space_group_name_H-M 'C m c m'
_symmetry_Int_Tables_number 63
_symmetry_space_group_name_Hall '-C 2c 2'
loop_
_atom_site_label
_atom_site_fract_x
_atom_site_fract_y
_atom_site_fract_z
K1 0.0000 0.2497 0.2500
Li1 0.0000 0.0347 0.7500
Zr1 0.0000 0.5000 0.0000
Te1 0.0000 0.1273 0.5472
Te2 0.0000 0.4318 0.7500
```

---

# 5
The following is a DFT calculation (GGA-PBE) of a relaxed Er3TmTl2C2 crystal.

total energy	-5.58	eV/atom

The structure in CIF format:
```
data_Er3TmTl2C2
_cell_length_a 3.5728
_cell_length_b 3.5728
_cell_length_c 16.1111
_cell_angle_alpha 90.00
_cell_angle_beta 90.00
_cell_angle_gamma 120.00
_symmetry_space_group_name_H-M 'P 3 m 1'
_symmetry_Int_Tables_number 156
loop_
_symmetry_equiv_pos_as_xyz
'x,y,z'
'-y,x-y,z'
'-x+y,-x,z'
'-y,-x,z'
'-x+y,y,z'
'x,x-y,z'
loop_
_atom_site_label
_atom_site_fract_x
_atom_site_fract_y
_atom_site_fract_z
Er1 0.0000 0.0000 0.0000
Er2 0.0000 0.0000 0.3347
Er3 0.3333 0.6667 0.5006
Tm1 0.3333 0.6667 0.8349
Tl1 0.0000 0.0000 0.6681
Tl2 0.3333 0.6667 0.1675
C1 0.6667 0.3333 0.4176
C2 0.6667 0.3333 0.9172
```

---

# 6
The following is a DFT calculation (GGA-PBE) of a relaxed BeNiHgGe crystal.

energy above the most stable polymorph in this dataset	0	meV/atom

The structure in CIF format:
```
data_BeNiHgGe
_cell_length_a 6.1816
_cell_length_b 6.1816
_cell_length_c 6.1816
_cell_angle_alpha 90.00
_cell_angle_beta 90.00
_cell_angle_gamma 90.00
_symmetry_space_group_name_H-M 'F -4 3 m'
_symmetry_Int_Tables_number 216
_symmetry_space_group_name_Hall 'F -4 2 3'
loop_
_atom_site_label
_atom_site_fract_x
_atom_site_fract_y
_atom_site_fract_z
Be1 0.0000 0.0000 0.0000
Ni1 0.0000 0.0000 0.5000
Hg1 0.2500 0.2500 0.7500
Ge1 0.2500 0.2500 0.2500
```

---

# 7
The following is a DFT calculation (GGA-PBE) of a relaxed LuTeAsO crystal.

energy above the most stable polymorph in this dataset	0	meV/atom

The structure in CIF format:
```
data_LuTeAsO
_cell_length_a 5.3970
_cell_length_b 7.2858
_cell_length_c 5.9311
_cell_angle_alpha 90.00
_cell_angle_beta 90.00
_cell_angle_gamma 90.00
_symmetry_space_group_name_H-M 'P m c 21'
_symmetry_Int_Tables_number 26
loop_
_symmetry_equiv_pos_as_xyz
'x,y,z'
'-x,-y,z+1/2'
'-x,y,z'
'x,-y,z+1/2'
loop_
_atom_site_label
_atom_site_fract_x
_atom_site_fract_y
_atom_site_fract_z
Lu1 0.0000 0.1733 0.0000
Te1 0.5000 0.3326 0.4769
As1 0.5000 0.3108 0.9724
O1 0.0000 0.0280 0.2798
```

---

# 8
The following is a DFT calculation (GGA-PBE) of a relaxed LaSm2NiSn3Ir2 crystal.

total energy	-6.28	eV/atom

The structure in CIF format:
```
data_LaSm2NiSn3Ir2
_cell_length_a 4.0754
_cell_length_b 12.9569
_cell_length_c 7.5289
_cell_angle_alpha 90.00
_cell_angle_beta 90.00
_cell_angle_gamma 90.00
_symmetry_space_group_name_H-M 'A m m 2'
_symmetry_Int_Tables_number 38
loop_
_symmetry_equiv_pos_as_xyz
'x,y,z'
'-x,-y,z'
'-x,y,z'
'x,-y,z'
'x,y+1/2,z+1/2'
'-x,-y+1/2,z+1/2'
'-x,y+1/2,z+1/2'
'x,-y+1/2,z+1/2'
loop_
_atom_site_label
_atom_site_fract_x
_atom_site_fract_y
_atom_site_fract_z
La1 0.0000 0.0000 0.0000
Sm1 0.0000 0.2058 0.6211
Ni1 0.0000 0.0000 0.4174
Sn1 0.5000 0.0000 0.6592
Sn2 0.5000 0.1247 0.2942
Ir1 0.5000 0.1654 0.9175
```

---

# 9
The following is a DFT calculation (GGA-PBE) of a relaxed MgAl2CoCu4 crystal.

energy above the most stable polymorph in this dataset	9	meV/atom

The structure in CIF format:
```
data_MgAl2CoCu4
_cell_length_a 4.1381
_cell_length_b 4.1381
_cell_length_c 5.9799
_cell_angle_alpha 90.00
_cell_angle_beta 90.00
_cell_angle_gamma 90.00
_symmetry_space_group_name_H-M 'P 4/m m m'
_symmetry_Int_Tables_number 123
_symmetry_space_group_name_Hall '-P 4 2'
loop_
_atom_site_label
_atom_site_fract_x
_atom_site_fract_y
_atom_site_fract_z
Mg1 0.0000 0.0000 0.0000
Al1 0.0000 0.0000 0.5000
Al2 0.5000 0.5000 0.0000
Co1 0.5000 0.5000 0.5000
Cu1 0.0000 0.5000 0.2609
```

---

# 10
The following is a DFT calculation (GGA-PBE) of a relaxed Nd2Dy2CI2BrCl2 crystal.

energy above the most stable polymorph in this dataset	0	meV/atom

The structure in CIF format:
```
data_Nd2Dy2CI2BrCl2
_cell_length_a 18.6094
_cell_length_b 3.9286
_cell_length_c 8.4009
_cell_angle_alpha 90.00
_cell_angle_beta 100.67
_cell_angle_gamma 90.00
_symmetry_space_group_name_H-M 'C 1 2/m 1'
_symmetry_Int_Tables_number 12
loop_
_symmetry_equiv_pos_as_xyz
'x,y,z'
'-x,-y,-z'
'-x,y,-z'
'x,-y,z'
'x+1/2,y+1/2,z'
'-x+1/2,-y+1/2,-z'
'-x+1/2,y+1/2,-z'
'x+1/2,-y+1/2,z'
loop_
_atom_site_label
_atom_site_fract_x
_atom_site_fract_y
_atom_site_fract_z
Nd1 0.0010 0.0000 0.2937
Dy1 0.1319 0.5000 0.5646
C1 0.0000 0.5000 0.5000
I1 0.1758 0.0000 0.3145
Br1 0.0000 0.5000 0.0000
Cl1 0.1545 0.0000 0.7942
```

---

# 11
The following is a DFT calculation (GGA-PBE) of a relaxed Sr2LiCuAs2 crystal.

total energy	-3.96	eV/atom

The structure in CIF format:
```
data_Sr2LiCuAs2
_cell_length_a 4.3700
_cell_length_b 4.3700
_cell_length_c 8.3601
_cell_angle_alpha 90.00
_cell_angle_beta 90.00
_cell_angle_gamma 120.00
_symmetry_space_group_name_H-M 'P -6 m 2'
_symmetry_Int_Tables_number 187
_symmetry_space_group_name_Hall 'P -6 2'
loop_
_atom_site_label
_atom_site_fract_x
_atom_site_fract_y
_atom_site_fract_z
Sr1 0.0000 0.0000 0.2500
Li1 0.3333 0.6667 0.0000
Cu1 0.6667 0.3333 0.5000
As1 0.3333 0.6667 0.5000
As2 0.6667 0.3333 0.0000
```

---

# 12
The following is a DFT calculation (GGA-PBE) of a relaxed MgAg2Au crystal.

total energy	-2.90	eV/atom

The structure in CIF format:
```
data_MgAg2Au
_cell_length_a 4.0678
_cell_length_b 4.0678
_cell_length_c 8.5744
_cell_angle_alpha 90.00
_cell_angle_beta 90.00
_cell_angle_gamma 90.00
_symmetry_space_group_name_H-M 'I 4/m m m'
_symmetry_Int_Tables_number 139
_symmetry_space_group_name_Hall '-I 4 2'
loop_
_atom_site_label
_atom_site_fract_x
_atom_site_fract_y
_atom_site_fract_z
Mg1 0.0000 0.0000 0.0000
Ag1 0.0000 0.5000 0.2500
Au1 0.0000 0.0000 0.5000
```